GGA-PBE Pr2Er4Tm5, relaxed; density = 8679 kg/m3; space-group type = P-1, No. 2; E_form = 0.027 eV per atom; DFT total energy = -4.534 eV/atom
1.0
3.5377 0.0000 0.0000
0.0117 8.6555 0.0000
1.7580 2.8799 11.2197
Pr Er Tm
2 4 5
Direct
0.0913 0.2282 0.3172 Pr
0.9087 0.7718 0.6828 Pr
0.1831 0.9534 0.1354 Er
0.4522 0.1405 0.5938 Er
0.5478 0.8595 0.4062 Er
0.8169 0.0466 0.8646 Er
0.0000 0.5000 0.5000 Tm
0.2719 0.6815 0.9570 Tm
0.3632 0.4070 0.7738 Tm
0.6368 0.5930 0.2262 Tm
0.7281 0.3185 0.0430 Tm